(1)
Compound: Pd3AuN
Source: the Alexandria database
Functional: PBE-GGA
Structure: optimized geometry

Properties
- excess energy over the best structure of this formula in the dataset (meV per atom) = 2092.1

Unit cell a=4.967 b=4.967 c=4.967 alpha=90.00 beta=90.00 gamma=90.00
Space group Pm-3m (No. 221)
Unique sites:
Pd 0.000 0.000 0.500 (multiplicity 3)
Au 0.000 0.000 0.000 (multiplicity 1)
N 0.500 0.500 0.500 (multiplicity 1)


(2)
Compound: PdAuN2
Source: the Alexandria database
Functional: PBE-GGA
Structure: optimized geometry

Properties
- excess energy over the best structure of this formula in the dataset (meV per atom) = 424.7

Unit cell a=4.341 b=4.341 c=11.648 alpha=90.00 beta=90.00 gamma=90.00
Space group I-42d (No. 122)
Unique sites:
Pd 0.000 0.000 0.000 (multiplicity 4)
Au 0.000 0.000 0.500 (multiplicity 4)
N 0.229 0.250 0.125 (multiplicity 8)


(3)
Compound: PdAu2N4
Source: the Alexandria database
Functional: PBE-GGA
Structure: optimized geometry

Properties
- VASP energy (eV per atom) = -4.4111

Unit cell a=4.221 b=4.221 c=10.742 alpha=90.00 beta=90.00 gamma=90.00
Space group I4/mmm (No. 139)
Unique sites:
Pd 0.000 0.000 0.000 (multiplicity 2)
Au 0.000 0.000 0.373 (multiplicity 4)
N 0.000 0.000 0.190 (multiplicity 4)
N 0.000 0.500 0.000 (multiplicity 4)


(4)
Compound: PdAuN2
Source: the Alexandria database
Functional: PBE-GGA
Structure: optimized geometry

Properties
- excess energy over the best structure of this formula in the dataset (meV per atom) = 0.0

Unit cell a=3.1112 b=3.1112 c=18.4895 alpha=90.00 beta=90.00 gamma=120.00
Space group R-3m (No. 166, hexagonal axes)
Unique sites:
Pd 0.0000 0.0000 0.0000 (multiplicity 3)
Au 0.0000 0.0000 0.5000 (multiplicity 3)
N 0.0000 0.0000 0.3906 (multiplicity 6)


(5)
Compound: PdAuN
Source: the Alexandria database
Functional: PBE-GGA
Structure: optimized geometry

Properties
- excess energy over the best structure of this formula in the dataset (meV per atom) = 488.7

Unit cell a=2.963 b=2.963 c=10.212 alpha=90.00 beta=90.00 gamma=90.00
Space group I4mm (No. 107)
Unique sites:
Pd 0.000 0.000 0.000 (multiplicity 2)
Au 0.000 0.000 0.739 (multiplicity 2)
N 0.000 0.000 0.528 (multiplicity 2)


(6)
Compound: Pr2PdAuN
Source: the Alexandria database
Functional: PBE-GGA
Structure: optimized geometry

Properties
- VASP energy (eV per atom) = -6.0939

Unit cell a=4.079 b=4.079 c=12.763 alpha=90.00 beta=90.00 gamma=90.00
Space group P4/nmm (No. 129, origin choice 2)
Unique sites:
Pr 0.250 0.250 0.090 (multiplicity 2)
Pr 0.250 0.250 0.710 (multiplicity 2)
Pd 0.250 0.750 0.500 (multiplicity 2)
Au 0.250 0.250 0.351 (multiplicity 2)
N 0.250 0.250 0.904 (multiplicity 2)